# NbReGe3, optimized geometry, DFT PBE
data_NbReGe3
_space_group_name_H-M_alt 'P m -3 m'
_space_group_IT_number 221
_space_group_name_Hall '-P 4 2 3'
_cell_length_a 4.813
_cell_length_b 4.813
_cell_length_c 4.813
_cell_angle_alpha 90.00
_cell_angle_beta 90.00
_cell_angle_gamma 90.00
loop_
_atom_site_label
_atom_site_type_symbol
_atom_site_fract_x
_atom_site_fract_y
_atom_site_fract_z
Nb1 Nb 0.000 0.000 0.000
Re1 Re 0.500 0.500 0.500
Ge1 Ge 0.000 0.500 0.500
# Fermi-level density of states, states/eV/atom: 1.1668
# M_tot, μB per cell: 4.03
# Relative energy among the computed polymorphs, eV/f.u.: 0.000
# Energy relative to the elements, eV per formula unit: 4.94

=====

# CaZn2Au, optimized geometry, DFT PBE
data_CaZn2Au
_space_group_name_H-M_alt 'I -4 m 2'
_space_group_IT_number 119
_space_group_name_Hall 'I -4 -2'
_cell_length_a 4.765
_cell_length_b 4.765
_cell_length_c 6.973
_cell_angle_alpha 90.00
_cell_angle_beta 90.00
_cell_angle_gamma 90.00
loop_
_atom_site_label
_atom_site_type_symbol
_atom_site_fract_x
_atom_site_fract_y
_atom_site_fract_z
Ca1 Ca 0.000 0.000 0.000
Zn1 Zn 0.000 0.000 0.500
Zn2 Zn 0.000 0.500 0.750
Au1 Au 0.000 0.500 0.250
# Fermi-level density of states, states/eV/atom: 0.5253
# M_tot, μB per cell: 0.00
# Energy relative to the elements, eV per formula unit: -1.31

=====

# Ac2RuBr, optimized geometry, DFT PBE
data_Ac2RuBr
_space_group_name_H-M_alt 'R -3 m'
_space_group_IT_number 166
_space_group_name_Hall '-R 3 2"'
_cell_length_a 4.3213
_cell_length_b 4.3213
_cell_length_c 24.6983
_cell_angle_alpha 90.00
_cell_angle_beta 90.00
_cell_angle_gamma 120.00
loop_
_atom_site_label
_atom_site_type_symbol
_atom_site_fract_x
_atom_site_fract_y
_atom_site_fract_z
Ac1 Ac 0.0000 0.0000 0.2313
Ru1 Ru 0.0000 0.0000 0.5000
Br1 Br 0.0000 0.0000 0.0000
# Fermi-level density of states, states/eV/atom: 0.6367
# M_tot, μB per cell: 0.00
# Relative energy among the computed polymorphs, eV/f.u.: 0.000
# Energy relative to the elements, uncorrected, meV/atom: -816

=====

# RbYHgBr6, optimized geometry, DFT PBE
data_RbYHgBr6
_space_group_name_H-M_alt 'P -3 1 c'
_space_group_IT_number 163
_space_group_name_Hall '-P 3 2c'
_cell_length_a 7.3885
_cell_length_b 7.3885
_cell_length_c 15.2144
_cell_angle_alpha 90.00
_cell_angle_beta 90.00
_cell_angle_gamma 120.00
loop_
_atom_site_label
_atom_site_type_symbol
_atom_site_fract_x
_atom_site_fract_y
_atom_site_fract_z
Rb1 Rb 0.0000 0.0000 0.0000
Y1 Y 0.3333 0.6667 0.2500
Hg1 Hg 0.3333 0.6667 0.7500
Br1 Br 0.0047 0.3794 0.1413
# Fermi-level density of states, states/eV/atom: 0.0000
# M_tot, μB per cell: 0.00
# Energy relative to the elements, uncorrected, meV/atom: -1373

=====

# LuScIrRh, optimized geometry, DFT PBE
data_LuScIrRh
_space_group_name_H-M_alt 'F -4 3 m'
_space_group_IT_number 216
_space_group_name_Hall 'F -4 2 3'
_cell_length_a 6.586
_cell_length_b 6.586
_cell_length_c 6.586
_cell_angle_alpha 90.00
_cell_angle_beta 90.00
_cell_angle_gamma 90.00
loop_
_atom_site_label
_atom_site_type_symbol
_atom_site_fract_x
_atom_site_fract_y
_atom_site_fract_z
Lu1 Lu 0.000 0.000 0.000
Sc1 Sc 0.000 0.000 0.500
Ir1 Ir 0.250 0.250 0.250
Rh1 Rh 0.250 0.250 0.750
# Fermi-level density of states, states/eV/atom: 0.4231
# M_tot, μB per cell: 0.00
# Energy relative to the elements, eV per formula unit: -4.04

=====

# AcHoSc2, optimized geometry, DFT PBE
data_AcHoSc2
_space_group_name_H-M_alt 'R -3 m'
_space_group_IT_number 166
_space_group_name_Hall '-R 3 2"'
_cell_length_a 3.5704
_cell_length_b 3.5704
_cell_length_c 33.1669
_cell_angle_alpha 90.00
_cell_angle_beta 90.00
_cell_angle_gamma 120.00
loop_
_atom_site_label
_atom_site_type_symbol
_atom_site_fract_x
_atom_site_fract_y
_atom_site_fract_z
Ac1 Ac 0.0000 0.0000 0.0000
Ho1 Ho 0.0000 0.0000 0.5000
Sc1 Sc 0.0000 0.0000 0.2470
# Fermi-level density of states, states/eV/atom: 1.3461
# M_tot, μB per cell: 0.00
# Relative energy among the computed polymorphs, eV/f.u.: 0.185
# Energy relative to the elements, eV per formula unit: 0.55